Below is crystalline MnPd4Pt at its relaxed geometry, with properties calculated at the PBE-GGA level.

abc: 2.8298 4.7921 6.7617
angles: 90.70 90.00 90.00
Closest atoms and distances in Å follow each position.
Atoms (fractional coordinates):
Mn: 0.5000 0.5000 0.0000  6 Pd 2.74-2.75, 4 Pt 2.78, 2 Mn 2.83
Pd: 0.0000 0.3352 0.6713  2 Mn 2.74, 1 Pt 2.76, 9 Pd 2.77-2.83
Pd: 0.5000 0.1685 0.3284  1 Mn 2.75, 2 Pt 2.75, 9 Pd 2.77-2.84
Pd: 0.5000 0.8315 0.6716  1 Mn 2.75, 2 Pt 2.75, 9 Pd 2.77-2.84
Pd: 0.0000 0.6648 0.3287  2 Mn 2.74, 1 Pt 2.76, 9 Pd 2.77-2.83
Pt: 0.0000 0.0000 0.0000  6 Pd 2.75-2.76, 4 Mn 2.78, 2 Pt 2.83

Calculated values
Energy of formation from the pure elements = -0.1526 eV per atom
Total moment = 0.868 μB per atom
Total energy = -6.150 eV per atom
Offset from the most stable computed form = 0.000 eV/atom